Below is a relaxed structure of BaMoIr, with properties calculated at the PBE level.

```
BaMoIr
1.0
-3.3510 5.0304 2.4368
-5.9236 2.4951 -1.0758
3.9153 -5.0247 1.3767
Ba Ir Mo
1 1 1
direct
0.9975 0.9975 0.0000
0.2716 0.2716 0.0000
0.7309 0.7309 0.0000
```

Computed properties:
Polymorph energy (0 for the lowest one): 0.40 eV per formula unit
Energy: -6.78 eV per atom
Space group: Imm2, No. 44
Energy of formation: 0.421 eV per atom